! Li3Ca2Zn12Pt | the Alexandria database | PBE | relaxed; values from VASP
&SYSTEM
  ibrav = 0, nat = 18, ntyp = 4
/
ATOMIC_SPECIES
Li 6.94 Li.upf
Ca 40.08 Ca.upf
Zn 65.41 Zn.upf
Pt 195.08 Pt.upf
CELL_PARAMETERS angstrom
3.1517 1.8197 9.8781
-3.1517 1.8197 9.8781
0.0000 -3.6393 9.8781
ATOMIC_POSITIONS crystal
Li 0.0000 0.5000 0.5000
Li 0.5000 0.0000 0.5000
Li 0.5000 0.5000 0.0000
Ca 0.1453 0.1453 0.1453
Ca 0.8547 0.8547 0.8547
Zn 0.0828 0.0828 0.6843
Zn 0.0828 0.6843 0.0828
Zn 0.1249 0.5884 0.5884
Zn 0.3157 0.9172 0.9172
Zn 0.4116 0.4116 0.8751
Zn 0.4116 0.8751 0.4116
Zn 0.5884 0.1249 0.5884
Zn 0.5884 0.5884 0.1249
Zn 0.6843 0.0828 0.0828
Zn 0.8751 0.4116 0.4116
Zn 0.9172 0.3157 0.9172
Zn 0.9172 0.9172 0.3157
Pt 0.5000 0.5000 0.5000
! ΔH_f (0 K) ... -1.81 eV per formula unit
! Volume ... 340 Å³/cell
! Magnetic moment ... 0.000 μB per formula unit

***

! LiCa2ZnPt | the Alexandria database | PBE | relaxed; values from VASP
&SYSTEM
  ibrav = 0, nat = 5, ntyp = 4
/
ATOMIC_SPECIES
Li 6.94 Li.upf
Ca 40.08 Ca.upf
Zn 65.41 Zn.upf
Pt 195.08 Pt.upf
CELL_PARAMETERS angstrom
5.5276 0.0000 0.0000
0.0000 5.5276 0.0000
0.0000 0.0000 4.9261
ATOMIC_POSITIONS crystal
Li 0.0000 0.0000 0.0000
Ca 0.0000 0.5000 0.5000
Ca 0.5000 0.0000 0.5000
Zn 0.5000 0.5000 0.0000
Pt 0.5000 0.5000 0.5000
! ΔH_f (0 K) ... -1.79 eV per formula unit
! Volume ... 151 Å³/cell
! Magnetic moment ... 0.000 μB per formula unit

***

! LiCaZnPt | the Alexandria database | PBE | relaxed; values from VASP
&SYSTEM
  ibrav = 0, nat = 8, ntyp = 4
/
ATOMIC_SPECIES
Li 6.94 Li.upf
Ca 40.08 Ca.upf
Zn 65.41 Zn.upf
Pt 195.08 Pt.upf
CELL_PARAMETERS angstrom
7.6881 0.0000 0.0000
0.0000 4.4360 0.0000
-2.5800 0.0000 4.7862
ATOMIC_POSITIONS crystal
Li 0.0000 0.0000 0.0000
Li 0.5000 0.5000 0.0000
Ca 0.1990 0.0000 0.5966
Ca 0.6990 0.5000 0.5966
Zn 0.2234 0.5000 0.1702
Zn 0.7234 0.0000 0.1702
Pt 0.4055 0.0000 0.2160
Pt 0.9055 0.5000 0.2160
! ΔH_f (0 K) ... -2.32 eV per formula unit
! Volume ... 163 Å³/cell
! Magnetic moment ... 0.000 μB per formula unit